# GGA-PBE TaAl2C, optimized geometry
# Calculated volume = 220 Å³/cell
# Energy = -6.83 eV/atom
# N(E_F) = 10.012 states/eV per cell
# E_form = 1.240 eV per formula unit
data_TaAl2C
_chemical_formula_sum 'Ta4 Al8 C4'
_symmetry_space_group_name_H-M 'I -4 2 d'
_symmetry_Int_Tables_number 122
_symmetry_space_group_name_Hall 'I -4 2bw'
_cell_length_a 6.932
_cell_length_b 6.932
_cell_length_c 4.587
_cell_angle_alpha 90.00
_cell_angle_beta 90.00
_cell_angle_gamma 90.00
loop_
_atom_site_label
_atom_site_type_symbol
_atom_site_fract_x
_atom_site_fract_y
_atom_site_fract_z
_atom_site_occupancy
Ta1 Ta 0.000 0.000 0.000 1
Al1 Al 0.158 0.250 0.625 1
C1 C 0.000 0.000 0.500 1